Lu4CdHgC2 | PBE | relaxed

```
data_Lu4CdHgC2
_symmetry_space_group_name_H-M 'P -6 m 2'
_symmetry_Int_Tables_number 187
_symmetry_space_group_name_Hall 'P -6 2'
_cell_length_a 3.4958
_cell_length_b 3.4958
_cell_length_c 15.8017
_cell_angle_alpha 90.00
_cell_angle_beta 90.00
_cell_angle_gamma 120.00
loop_
_atom_site_label
_atom_site_type_symbol
_atom_site_fract_x
_atom_site_fract_y
_atom_site_fract_z
Lu1 Lu 0.0000 0.0000 0.1613
Lu2 Lu 0.3333 0.6667 0.3272
Cd1 Cd 0.0000 0.0000 0.5000
Hg1 Hg 0.3333 0.6667 0.0000
C1 C 0.6667 0.3333 0.2457
```

Computed properties:
calculated volume: 20.90 A^3/atom
E_tot: -5.12 eV per atom